[1]
The following is a DFT calculation (GGA-PBE) of crystalline BaCdOF2 at its relaxed geometry.

Properties
Energy relative to the elements, uncorrected: -12.1 eV per formula unit
Spin magnetization: 0.00 Bohr magnetons per cell
Theoretical density: 5.7 g cm⁻³
D(E_F): 0.0 states/eV per cell

Cell lengths 4.4996, 4.4996, 4.3459 Å; angles 90.00, 90.00, 90.00 degrees
Positions (direct):
Cd1 0.0000 0.0000 0.0000
O1 0.0000 0.0000 0.5000
F1 0.0000 0.5000 0.0000
Ba1 0.5000 0.5000 0.5000
F2 0.5000 0.0000 0.0000

[2]
The following is a DFT calculation (GGA-PBE) of crystalline BaCdOF2 at its relaxed geometry.

Properties
Energy relative to the elements, uncorrected: -8.3 eV per formula unit
Spin magnetization: 0.00 Bohr magnetons per cell
Theoretical density: 4.1 g cm⁻³
D(E_F): 3.7 states/eV per cell

Cell lengths 4.9529, 4.9529, 5.0651 Å; angles 90.00, 90.00, 90.00 degrees
Positions (direct):
F1 0.5000 0.0000 0.0000
Cd1 0.5000 0.5000 0.5000
Ba1 0.0000 0.0000 0.0000
F2 0.0000 0.5000 0.0000
O1 0.0000 0.0000 0.5000

[3]
The following is a DFT calculation (GGA-PBE) of crystalline Ba2CdO2F2 at its relaxed geometry.

Properties
Energy relative to the elements, uncorrected: -18.1 eV per formula unit
Spin magnetization: 0.00 Bohr magnetons per cell
Theoretical density: 5.6 g cm⁻³

Cell lengths 4.4049, 4.4049, 7.6508 Å; angles 106.73, 106.73, 90.00 degrees
Positions (direct):
Ba1 0.6257 0.6257 0.2515
O1 0.0000 0.5000 0.0000
O2 0.5000 0.0000 0.0000
Ba2 0.3743 0.3743 0.7485
F1 0.8139 0.8139 0.6277
F2 0.1861 0.1861 0.3723
Cd1 0.0000 0.0000 0.0000

[4]
The following is a DFT calculation (GGA-PBE) of crystalline BaCdPbF6 at its relaxed geometry.

Properties
Energy relative to the elements, uncorrected: -25.0 eV per formula unit
Spin magnetization: 0.00 Bohr magnetons per cell
Theoretical density: 5.1 g cm⁻³
D(E_F): 0.0 states/eV per cell

Cell lengths 6.2393, 6.2393, 5.4945 Å; angles 90.01, 89.99, 59.95 degrees
Positions (direct):
Pb1 0.6665 0.6666 0.5000
F1 0.6415 0.0216 0.2776
Cd1 0.3334 0.3334 0.5000
Ba1 0.0000 0.0000 0.0000
F2 0.6406 0.3374 0.7232
F3 0.3373 0.6406 0.2768
F4 0.0216 0.6415 0.7224
F5 0.3368 0.0222 0.7227
F6 0.0222 0.3368 0.2773

> What is the theoretical density in the fourth record?

5.1 g cm⁻³